# PBE CsAs2Pb2, relaxed
# Calculated volume: 726.7 Å³ per cell
# Energy above the lowest structure with this stoichiometry: 0.0 meV per atom
# DFT formation energy: -173 meV/atom
# Theoretical density: 6.4 Mg/m³
data_CsAs2Pb2
_cell_length_a 7.2174
_cell_length_b 7.2174
_cell_length_c 13.9516
_cell_angle_alpha 90.00
_cell_angle_beta 90.00
_cell_angle_gamma 90.00
_space_group_name_H-M_alt 'I 41 m d'
_space_group_IT_number 109
_space_group_name_Hall 'I 4bw -2'
loop_
_atom_site_label
_atom_site_type_symbol
_atom_site_fract_x
_atom_site_fract_y
_atom_site_fract_z
Cs1 Cs 0.0000 0.0000 0.0000
As1 As 0.0000 0.3111 0.4952
Pb1 Pb 0.0000 0.2541 0.6954